# LaSiAu2

A crystal of LaSiAu2 relaxed with PBEsol (SCAN, Alexandria).

Structure (POSCAR):
```
LaSiAu2
1.0
3.3569 0.0000 0.0000
0.0000 3.3569 0.0000
0.0000 0.0000 7.1492
La Si Au
1 1 2
Direct
0.0000 0.0000 0.0000
0.0000 0.0000 0.5000
0.5000 0.5000 0.2977
0.5000 0.5000 0.7023
```

Results
The calculated total energy is -48.27 eV/atom.